# PBE-GGA BeIn2NiW, relaxed
data_BeIn2NiW
_symmetry_space_group_name_H-M 'P 1'
_symmetry_Int_Tables_number 1
_cell_length_a 4.720
_cell_length_b 4.720
_cell_length_c 4.647
_cell_angle_alpha 90.00
_cell_angle_beta 90.00
_cell_angle_gamma 90.00
loop_
_symmetry_equiv_pos_as_xyz
'x,y,z'
loop_
_atom_site_label
_atom_site_fract_x
_atom_site_fract_y
_atom_site_fract_z
Be1 0.000 0.000 0.000
In1 0.000 0.500 0.500
In2 0.500 0.000 0.500
Ni1 0.500 0.500 0.500
W1 0.500 0.500 0.000
# Energy of formation from the pure elements, meV per atom: 1156



# PBE-GGA La3Er2Tl4, relaxed
data_La3Er2Tl4
_symmetry_space_group_name_H-M 'P 1'
_symmetry_Int_Tables_number 1
_cell_length_a 6.791
_cell_length_b 6.791
_cell_length_c 10.214
_cell_angle_alpha 117.75
_cell_angle_beta 117.75
_cell_angle_gamma 43.60
loop_
_symmetry_equiv_pos_as_xyz
'x,y,z'
loop_
_atom_site_label
_atom_site_fract_x
_atom_site_fract_y
_atom_site_fract_z
La1 0.000 0.000 0.000
La2 0.358 0.358 0.313
La3 0.642 0.642 0.687
Er1 0.354 0.354 0.684
Er2 0.646 0.646 0.316
Tl1 0.068 0.068 0.404
Tl2 0.311 0.311 0.965
Tl3 0.689 0.689 0.035
Tl4 0.932 0.932 0.596
# Polymorph energy (0 for the lowest one), meV per atom: 6.5
# Energy of formation from the pure elements, meV per atom: -309



# PBE-GGA Re2Os2Au, relaxed
data_Re2Os2Au
_symmetry_space_group_name_H-M 'P 1'
_symmetry_Int_Tables_number 1
_cell_length_a 7.621
_cell_length_b 7.621
_cell_length_c 2.764
_cell_angle_alpha 90.00
_cell_angle_beta 90.00
_cell_angle_gamma 90.00
loop_
_symmetry_equiv_pos_as_xyz
'x,y,z'
loop_
_atom_site_label
_atom_site_fract_x
_atom_site_fract_y
_atom_site_fract_z
Re1 0.163 0.337 0.000
Re2 0.337 0.837 0.000
Re3 0.663 0.163 0.000
Re4 0.837 0.663 0.000
Os1 0.127 0.627 0.500
Os2 0.373 0.127 0.500
Os3 0.627 0.873 0.500
Os4 0.873 0.373 0.500
Au1 0.000 0.000 0.500
Au2 0.500 0.500 0.500
# Energy of formation from the pure elements, meV per atom: 283



# PBE-GGA NdTmBiSb, relaxed
data_NdTmBiSb
_symmetry_space_group_name_H-M 'P 1'
_symmetry_Int_Tables_number 1
_cell_length_a 7.746
_cell_length_b 7.746
_cell_length_c 7.746
_cell_angle_alpha 33.61
_cell_angle_beta 33.61
_cell_angle_gamma 33.61
loop_
_symmetry_equiv_pos_as_xyz
'x,y,z'
loop_
_atom_site_label
_atom_site_fract_x
_atom_site_fract_y
_atom_site_fract_z
Nd1 0.000 0.000 0.000
Tm1 0.504 0.504 0.504
Bi1 0.756 0.756 0.756
Sb1 0.248 0.248 0.248
# Formation energy (no corrections), eV/atom: -0.9914



no.,volume (Å³/cell)
1,104
2,281
3,161
4,127